Record 1
This record from the Alexandria database describes an optimized crystal structure of Sm2DyAlC. The functional is PBE-GGA.

Cell: 5.0199 5.0199 4.8876 Å, 90.00 90.00 90.00°
Last column: nearest neighbours and their distance in Å.
Space group P4/mmm (No. 123)
Asymmetric unit:
Sm  0.0000  0.5000  0.0000 x2  2 C 2.51
Dy  0.0000  0.0000  0.5000 x1  2 C 2.44
Al  0.5000  0.5000  0.5000 x1  8 Sm 3.50, 4 Dy 3.55
C  0.0000  0.0000  0.0000 x1  2 Dy 2.44, 4 Sm 2.51

Summary:
- total magnetization (Bohr magnetons per cell) = 0.00
- ΔE_f (eV per atom) = -0.296

Record 2
This record from the Alexandria database describes an optimized crystal structure of TbDy2AlC. The functional is PBE-GGA.

Cell: 4.8844 4.8844 4.9142 Å, 90.00 90.00 90.00°
Last column: nearest neighbours and their distance in Å.
Space group P4/mmm (No. 123)
Asymmetric unit:
Tb  0.0000  0.0000  0.0000 x1  2 C 2.46
Dy  0.0000  0.5000  0.5000 x2  2 C 2.44
Al  0.5000  0.5000  0.0000 x1  4 Tb 3.45, 8 Dy 3.46
C  0.0000  0.0000  0.5000 x1  4 Dy 2.44, 2 Tb 2.46

Summary:
- total magnetization (Bohr magnetons per cell) = 0.00
- ΔE_f (eV per atom) = -0.379

Record 3
This record from the Alexandria database describes an optimized crystal structure of Dy2ThAlC. The functional is PBE-GGA.

Cell: 4.9037 4.9037 5.0247 Å, 90.00 90.00 90.00°
Last column: nearest neighbours and their distance in Å.
Space group P4/mmm (No. 123)
Asymmetric unit:
Dy  0.0000  0.5000  0.0000 x2  2 C 2.45
Th  0.0000  0.0000  0.5000 x1  2 C 2.51
Al  0.5000  0.5000  0.5000 x1  4 Th 3.47, 8 Dy 3.51
C  0.0000  0.0000  0.0000 x1  4 Dy 2.45, 2 Th 2.51

Summary:
- total magnetization (Bohr magnetons per cell) = 0.00
- ΔE_f (eV per atom) = -0.331

Record 4
This record from the Alexandria database describes an optimized crystal structure of Dy2YAlC. The functional is PBE-GGA.

Cell: 4.8878 4.8878 4.8903 Å, 90.00 90.00 90.00°
Last column: nearest neighbours and their distance in Å.
Space group P4/mmm (No. 123)
Asymmetric unit:
Dy  0.0000  0.5000  0.0000 x2  2 C 2.44
Y  0.0000  0.0000  0.5000 x1  2 C 2.45
Al  0.5000  0.5000  0.5000 x1  4 Y 3.46, 8 Dy 3.46
C  0.0000  0.0000  0.0000 x1  4 Dy 2.44, 2 Y 2.45

Summary:
- total magnetization (Bohr magnetons per cell) = 0.00
- ΔE_f (eV per atom) = -0.399

Record 5
This record from the Alexandria database describes an optimized crystal structure of DyY2AlC. The functional is PBE-GGA.

Cell: 4.8926 4.8926 4.8918 Å, 90.00 90.00 90.00°
Last column: nearest neighbours and their distance in Å.
Space group P4/mmm (No. 123)
Asymmetric unit:
Dy  0.0000  0.0000  0.0000 x1  2 C 2.45
Y  0.0000  0.5000  0.5000 x2  2 C 2.45
Al  0.5000  0.5000  0.0000 x1  8 Y 3.46, 4 Dy 3.46
C  0.0000  0.0000  0.5000 x1  2 Dy 2.45, 4 Y 2.45

Summary:
- total magnetization (Bohr magnetons per cell) = 0.00
- ΔE_f (eV per atom) = -0.411

Record 6
This record from the Alexandria database describes an optimized crystal structure of Er4Al2C. The functional is PBE-GGA.

Cell: 4.8424 4.8424 14.5278 Å, 90.00 90.00 90.00°
Last column: nearest neighbours and their distance in Å.
Space group I4/mmm (No. 139)
Asymmetric unit:
Er  0.0000  0.0000  0.1661 x4  1 C 2.41
Er  0.0000  0.5000  0.0000 x4  2 C 2.42
Al  0.0000  0.0000  0.3738 x4  5 Er 3.02-3.04
C  0.0000  0.0000  0.0000 x2  6 Er 2.41-2.42

Summary:
- total magnetization (Bohr magnetons per cell) = 0.00
- ΔE_f (eV per atom) = -0.269

Record 7
This record from the Alexandria database describes an optimized crystal structure of ErAl2C2. The functional is PBE-GGA.

Cell: 3.3498 3.3498 21.6680 Å, 90.00 90.00 120.00°
Last column: nearest neighbours and their distance in Å.
Space group R-3m (No. 166, hexagonal axes)
Asymmetric unit:
Er  0.0000  0.0000  0.0000 x3  6 C 2.51
Al  0.0000  0.0000  0.2260 x6  3 C 2.06
C  0.0000  0.0000  0.4073 x6  3 Al 2.06

Summary:
- total magnetization (Bohr magnetons per cell) = 0.00
- ΔE_f (eV per atom) = -0.101

Record 8
This record from the Alexandria database describes an optimized crystal structure of Er3AlC. The functional is PBE-GGA.

Cell: 4.8290 4.8290 4.8290 Å, 90.00 90.00 90.00°
Last column: nearest neighbours and their distance in Å.
Space group Pm-3m (No. 221)
Asymmetric unit:
Er  0.0000  0.0000  0.5000 x3  2 C 2.41
Al  0.5000  0.5000  0.5000 x1  12 Er 3.41
C  0.0000  0.0000  0.0000 x1  6 Er 2.41

Summary:
- offset from the most stable computed form (eV per atom) = 0.000
- total magnetization (Bohr magnetons per cell) = 0.00
- ΔE_f (eV per atom) = -0.433

Record 9
This record from the Alexandria database describes an optimized crystal structure of Er2Al2C3. The functional is PBE-GGA.

Cell: 10.8496 3.4674 5.6356 Å, 90.00 108.85 90.00°
Last column: nearest neighbours and their distance in Å.
Space group C2/m (No. 12)
Asymmetric unit:
Er  0.1169  0.0000  0.2933 x4  3 C 2.40-2.45
Al  0.1518  0.5000  0.8805 x4  4 C 1.97-2.21
C  0.0000  0.5000  0.0000 x2  2 Al 1.97
C  0.2005  0.0000  0.7432 x4  3 Al 2.04-2.21

Summary:
- total magnetization (Bohr magnetons per cell) = 0.00
- ΔE_f (eV per atom) = -0.270

Record 10
This record from the Alexandria database describes an optimized crystal structure of Er2AlC2. The functional is PBE-GGA.

Cell: 11.1228 5.0345 6.7971 Å, 90.00 119.63 90.00°
Last column: nearest neighbours and their distance in Å.
Space group C2/m (No. 12)
Asymmetric unit:
Er  0.0331  0.0000  0.2657 x4  4 C 2.36-2.53
Er  0.1716  0.5000  0.0887 x4  5 C 2.39-2.58
Al  0.1344  0.5000  0.6276 x4  3 C 2.00-2.11
C  0.0232  0.5000  0.2850 x4  2 Al 2.03-2.11
C  0.1763  0.0000  0.1005 x4  1 Al 2.00

Summary:
- total magnetization (Bohr magnetons per cell) = 1.23
- ΔE_f (eV per atom) = -0.325

Record 11
This record from the Alexandria database describes an optimized crystal structure of ErAl2Fe2C. The functional is PBE-GGA.

Cell: 3.8500 3.8500 5.5245 Å, 90.00 90.00 90.00°
Last column: nearest neighbours and their distance in Å.
Space group P4/mmm (No. 123)
Asymmetric unit:
Er  0.0000  0.0000  0.0000 x1  2 C 2.76, 8 Al 3.01
Al  0.5000  0.5000  0.2335 x2  4 Fe 2.42, 1 Al 2.58
Fe  0.0000  0.5000  0.5000 x2  2 C 1.93
C  0.0000  0.0000  0.5000 x1  4 Fe 1.93

Summary:
- total magnetization (Bohr magnetons per cell) = 0.00
- ΔE_f (eV per atom) = -0.320

Record 12
This record from the Alexandria database describes an optimized crystal structure of Er2Al2Fe2C. The functional is PBE-GGA.

Cell: 10.8495 3.9762 6.9908 Å, 90.00 129.64 90.00°
Last column: nearest neighbours and their distance in Å.
Space group C2/m (No. 12)
Asymmetric unit:
Er  0.0540  0.0000  0.3277 x4  2 C 2.58
Al  0.1625  0.5000  0.1076 x4  3 Fe 2.35-2.41
Fe  0.1928  0.5000  0.7955 x4  1 C 1.77
C  0.0000  0.5000  0.5000 x2  2 Fe 1.77

Summary:
- total magnetization (Bohr magnetons per cell) = 0.00
- ΔE_f (eV per atom) = -0.373